Entry 1:
# Zr4Mo2As3C3 | OQMD via LeMat-Bulk | PBE-GGA | relaxed
# DFT total energy = -212.38 eV for the cell shown
# Space group = C2/c
# Total magnetization = 0.00 μB/cell
data_Zr4Mo2As3C3
_chemical_formula_sum 'Zr8 Mo4 As6 C6'
_symmetry_space_group_name_H-M 'P 1'
_symmetry_Int_Tables_number 1
_symmetry_space_group_name_Hall 'P 1'
_cell_length_a 5.864
_cell_length_b 5.864
_cell_length_c 12.803
_cell_angle_alpha 103.05
_cell_angle_beta 103.05
_cell_angle_gamma 60.14
loop_
_atom_site_label
_atom_site_type_symbol
_atom_site_fract_x
_atom_site_fract_y
_atom_site_fract_z
_atom_site_occupancy
As1 As 0.279 0.416 0.249 1
As2 As 0.885 0.115 0.250 1
As3 As 0.584 0.721 0.251 1
As4 As 0.416 0.279 0.749 1
As5 As 0.115 0.885 0.750 1
As6 As 0.721 0.584 0.751 1
C1 C 0.500 0.000 0.000 1
C2 C 0.828 0.336 0.000 1
C3 C 0.664 0.172 0.500 1
C4 C 0.000 0.500 0.500 1
C5 C 0.336 0.828 0.500 1
C6 C 0.172 0.664 0.000 1
Mo1 Mo 0.526 0.352 0.083 1
Mo2 Mo 0.648 0.474 0.417 1
Mo3 Mo 0.352 0.526 0.583 1
Mo4 Mo 0.474 0.648 0.917 1
Zr1 Zr 0.197 0.038 0.102 1
Zr2 Zr 0.871 0.701 0.102 1
Zr3 Zr 0.299 0.129 0.398 1
Zr4 Zr 0.962 0.803 0.398 1
Zr5 Zr 0.038 0.197 0.602 1
Zr6 Zr 0.701 0.871 0.602 1
Zr7 Zr 0.129 0.299 0.898 1
Zr8 Zr 0.803 0.962 0.898 1

---

Entry 2:
# NbAlFeAg | OQMD via LeMat-Bulk | PBE-GGA | relaxed
# Space group = F-43m
# Total magnetization = 1.20 μB/cell
# Polymorph energy (0 for the lowest one) = 0 meV per atom
data_NbAlFeAg
_chemical_formula_sum 'Nb1 Al1 Fe1 Ag1'
_symmetry_space_group_name_H-M 'P 1'
_symmetry_Int_Tables_number 1
_symmetry_space_group_name_Hall 'P 1'
_cell_length_a 4.439
_cell_length_b 4.439
_cell_length_c 4.439
_cell_angle_alpha 60.00
_cell_angle_beta 60.00
_cell_angle_gamma 60.00
loop_
_atom_site_label
_atom_site_type_symbol
_atom_site_fract_x
_atom_site_fract_y
_atom_site_fract_z
_atom_site_occupancy
Ag1 Ag 0.250 0.250 0.250 1
Al1 Al 0.000 0.000 0.000 1
Fe1 Fe 0.750 0.750 0.750 1
Nb1 Nb 0.500 0.500 0.500 1

---

Entry 3:
# Sm4Te3N2 | OQMD via LeMat-Bulk | PBE-GGA | relaxed
# Space group = C2/m
# Total magnetization = 0.01 μB/cell
# Polymorph energy (0 for the lowest one) = 0 meV per atom
data_Sm4Te3N2
_chemical_formula_sum 'Sm4 Te3 N2'
_symmetry_space_group_name_H-M 'P 1'
_symmetry_Int_Tables_number 1
_symmetry_space_group_name_Hall 'P 1'
_cell_length_a 7.346
_cell_length_b 7.346
_cell_length_c 9.656
_cell_angle_alpha 120.40
_cell_angle_beta 120.40
_cell_angle_gamma 32.90
loop_
_atom_site_label
_atom_site_type_symbol
_atom_site_fract_x
_atom_site_fract_y
_atom_site_fract_z
_atom_site_occupancy
N1 N 0.691 0.691 0.365 1
N2 N 0.309 0.309 0.635 1
Sm1 Sm 0.691 0.691 0.139 1
Sm2 Sm 0.129 0.129 0.414 1
Sm3 Sm 0.871 0.871 0.586 1
Sm4 Sm 0.309 0.309 0.861 1
Te1 Te 0.000 0.000 0.000 1
Te2 Te 0.385 0.385 0.273 1
Te3 Te 0.615 0.615 0.727 1